No. 1
12
Lattice="5.4297 0.0000 0.0000 2.7149 4.8323 0.0000 2.7149 0.0000 9.6425" Properties=species:S:1:pos:R:3 comment="TiSnSb (GGA-PBEsol, optimized geometry)" raw_formation_energy_ev_per_atom=-0.402 pbc="T T T"
Sb 4.0723 2.4161 3.3207
Sn 6.7872 4.0371 4.8212
Sn 5.4297 1.6210 0.0000
Sn 6.7871 0.7952 4.8212
Ti 6.7871 2.4161 7.2561
Sb 4.0723 2.4161 6.3218
Sb 5.4297 0.0000 8.1419
Ti 2.7149 0.0000 7.2076
Ti 5.4297 0.0000 2.4349
Ti 6.7871 2.4161 2.3864
Sb 2.7149 0.0000 1.5006
Sn 2.7149 3.2113 0.0000

---

No. 2
8
Lattice="-6.1938 1.6630 -0.1803 -1.2051 -3.9566 4.9045 4.8708 5.9619 1.8101" Properties=species:S:1:pos:R:3 comment="TiSnSb2 (GGA-PBEsol, optimized geometry)" raw_formation_energy_ev_per_atom=0.188 pbc="T T T"
Sb -0.9277 3.1805 4.1334
Ti -3.6994 -1.1468 2.3621
Sn 0.0000 0.0000 0.0000
Sb -4.4305 1.4019 2.1405
Sn -0.0168 0.4292 4.5384
Sb -2.3827 -1.2880 4.6699
Sb 2.6848 4.0420 2.1249
Ti -2.5112 3.2390 1.9960

---

No. 3
10
Lattice="-3.1335 -0.0085 2.2727 3.2616 -6.4654 4.4726 3.7861 5.5355 5.2410" Properties=species:S:1:pos:R:3 comment="TlSn2Sb2 (GGA-PBEsol, optimized geometry)" raw_formation_energy_ev_per_atom=0.051 pbc="T T T"
Sb 2.6655 -3.3692 3.6624
Sb 1.8160 1.0059 2.5077
Sb 5.2316 -1.9358 7.2059
Sn 0.1411 -1.4738 3.4855
Sn 1.3617 2.6268 5.1840
Sn 2.5524 -3.5653 6.8023
Sn 3.7730 0.5353 8.5007
Sb 4.3822 2.4393 6.0512
Tl 0.0000 0.0000 0.0000
Tl 3.5238 -0.4650 4.8568

---

No. 4
5
Lattice="-3.8881 -3.8721 -0.5735 3.8794 -3.7041 -1.2921 0.5351 -1.3473 5.4690" Properties=species:S:1:pos:R:3 comment="YTlSnSb2 (GGA-PBEsol, optimized geometry)" raw_formation_energy_ev_per_atom=0.593 pbc="T T T"
Tl 0.0000 0.0000 0.0000
Sn 0.2632 -4.4618 1.8017
Sb 1.9397 -1.8520 -0.6461
Y 0.2676 -0.6737 2.7345
Sb -1.9441 -1.9361 -0.2867